(1)
# LaPm2Pb (PBE, optimized geometry)
# - total magnetic moment (μB per cell) = 0.0
# - energy of formation from the pure elements (meV/atom) = -159
# - DOS at the Fermi energy (states/eV per cell) = 25.970
# - DFT total energy (eV/atom) = -4.69
data_LaPm2Pb
_chemical_formula_sum 'La4 Pm8 Pb4'
_cell_length_a 7.929
_cell_length_b 7.929
_cell_length_c 7.929
_cell_angle_alpha 90.00
_cell_angle_beta 90.00
_cell_angle_gamma 90.00
_space_group_name_H-M_alt 'F m -3 m'
_space_group_IT_number 225
_space_group_name_Hall '-F 4 2 3'
loop_
_atom_site_label
_atom_site_fract_x
_atom_site_fract_y
_atom_site_fract_z
La1 0.000 0.000 0.000
Pm1 0.250 0.250 0.250
Pb1 0.000 0.000 0.500



(2)
# La5PmPb6 (PBE, optimized geometry)
# - total magnetic moment (μB per cell) = 0.0
# - energy of formation from the pure elements (meV/atom) = -571
# - DOS at the Fermi energy (states/eV per cell) = 22.311
# - DFT total energy (eV/atom) = -4.87
data_La5PmPb6
_chemical_formula_sum 'La10 Pm2 Pb12'
_cell_length_a 5.179
_cell_length_b 9.301
_cell_length_c 15.577
_cell_angle_alpha 90.00
_cell_angle_beta 90.00
_cell_angle_gamma 90.00
_space_group_name_H-M_alt 'I m m m'
_space_group_IT_number 71
_space_group_name_Hall '-I 2 2'
loop_
_atom_site_label
_atom_site_fract_x
_atom_site_fract_y
_atom_site_fract_z
La1 0.000 0.000 0.000
La2 0.000 0.000 0.333
La3 0.000 0.500 0.333
Pm1 0.000 0.500 0.000
Pb1 0.000 0.247 0.500
Pb2 0.000 0.251 0.165



(3)
# LaPmPb (PBE, optimized geometry)
# - total magnetic moment (μB per cell) = 0.0
# - energy of formation from the pure elements (meV/atom) = -381
# - DOS at the Fermi energy (states/eV per cell) = 6.987
# - DFT total energy (eV/atom) = -4.84
data_LaPmPb
_chemical_formula_sum 'La2 Pm2 Pb2'
_cell_length_a 4.291
_cell_length_b 4.291
_cell_length_c 10.164
_cell_angle_alpha 90.00
_cell_angle_beta 90.00
_cell_angle_gamma 90.00
_space_group_name_H-M_alt 'I 4 m m'
_space_group_IT_number 107
_space_group_name_Hall 'I 4 -2'
loop_
_atom_site_label
_atom_site_fract_x
_atom_site_fract_y
_atom_site_fract_z
La1 0.000 0.000 0.000
Pm1 0.000 0.000 0.309
Pb1 0.000 0.000 0.659



(4)
# LaPm2Pb (PBE, optimized geometry)
# - total magnetic moment (μB per cell) = 0.0
# - energy of formation from the pure elements (meV/atom) = 8
# - DOS at the Fermi energy (states/eV per cell) = 20.322
# - DFT total energy (eV/atom) = -4.53
data_LaPm2Pb
_chemical_formula_sum 'La3 Pm6 Pb3'
_cell_length_a 3.5490
_cell_length_b 3.5490
_cell_length_c 36.8718
_cell_angle_alpha 90.00
_cell_angle_beta 90.00
_cell_angle_gamma 120.00
_space_group_name_H-M_alt 'R -3 m'
_space_group_IT_number 166
_space_group_name_Hall '-R 3 2"'
loop_
_atom_site_label
_atom_site_fract_x
_atom_site_fract_y
_atom_site_fract_z
La1 0.0000 0.0000 0.0000
Pm1 0.0000 0.0000 0.0933
Pb1 0.0000 0.0000 0.5000



(5)
# La5PmPb6 (PBE, optimized geometry)
# - total magnetic moment (μB per cell) = 0.0
# - energy of formation from the pure elements (meV/atom) = -574
# - DOS at the Fermi energy (states/eV per cell) = 20.088
# - DFT total energy (eV/atom) = -4.88
data_La5PmPb6
_chemical_formula_sum 'La10 Pm2 Pb12'
_cell_length_a 5.151
_cell_length_b 15.590
_cell_length_c 9.324
_cell_angle_alpha 90.00
_cell_angle_beta 90.00
_cell_angle_gamma 90.00
_space_group_name_H-M_alt 'C m m m'
_space_group_IT_number 65
_space_group_name_Hall '-C 2 2'
loop_
_atom_site_label
_atom_site_fract_x
_atom_site_fract_y
_atom_site_fract_z
La1 0.000 0.000 0.000
La2 0.000 0.333 0.000
La3 0.000 0.334 0.500
Pm1 0.000 0.000 0.500
Pb1 0.000 0.165 0.252
Pb2 0.000 0.500 0.252



(6)
# La2Pm3Pb4 (PBE, optimized geometry)
# - total magnetic moment (μB per cell) = 0.0
# - energy of formation from the pure elements (meV/atom) = -491
# - DOS at the Fermi energy (states/eV per cell) = 22.979
# - DFT total energy (eV/atom) = -4.82
data_La2Pm3Pb4
_chemical_formula_sum 'La8 Pm12 Pb16'
_cell_length_a 7.343
_cell_length_b 17.754
_cell_length_c 9.259
_cell_angle_alpha 90.00
_cell_angle_beta 90.00
_cell_angle_gamma 90.00
_space_group_name_H-M_alt 'C m c e'
_space_group_IT_number 64
_space_group_name_Hall '-C 2ac 2'
loop_
_atom_site_label
_atom_site_fract_x
_atom_site_fract_y
_atom_site_fract_z
La1 0.000 0.111 0.089
Pm1 0.000 0.000 0.500
Pm2 0.250 0.206 0.750
Pb1 0.000 0.185 0.443
Pb2 0.250 0.030 0.750



(7)
# LaPmPb (PBE, optimized geometry)
# - total magnetic moment (μB per cell) = 0.2
# - energy of formation from the pure elements (meV/atom) = -288
# - DOS at the Fermi energy (states/eV per cell) = 17.728
# - DFT total energy (eV/atom) = -4.75
data_LaPmPb
_chemical_formula_sum 'La4 Pm4 Pb4'
_cell_length_a 7.634
_cell_length_b 7.634
_cell_length_c 7.634
_cell_angle_alpha 90.00
_cell_angle_beta 90.00
_cell_angle_gamma 90.00
_space_group_name_H-M_alt 'F -4 3 m'
_space_group_IT_number 216
_space_group_name_Hall 'F -4 2 3'
loop_
_atom_site_label
_atom_site_fract_x
_atom_site_fract_y
_atom_site_fract_z
La1 0.000 0.000 0.000
Pm1 0.000 0.000 0.500
Pb1 0.250 0.250 0.750



(8)
# LaPm5Pb4 (PBE, optimized geometry)
# - total magnetic moment (μB per cell) = 0.0
# - energy of formation from the pure elements (meV/atom) = -471
# - DOS at the Fermi energy (states/eV per cell) = 13.359
# - DFT total energy (eV/atom) = -4.82
data_LaPm5Pb4
_chemical_formula_sum 'La2 Pm10 Pb8'
_cell_length_a 17.169
_cell_length_b 4.880
_cell_length_c 8.335
_cell_angle_alpha 90.00
_cell_angle_beta 105.64
_cell_angle_gamma 90.00
_space_group_name_H-M_alt 'C 1 2/m 1'
_space_group_IT_number 12
loop_
_space_group_symop_operation_xyz
'x,y,z'
'-x,-y,-z'
'-x,y,-z'
'x,-y,z'
'x+1/2,y+1/2,z'
'-x+1/2,-y+1/2,-z'
'-x+1/2,y+1/2,-z'
'x+1/2,-y+1/2,z'
loop_
_atom_site_label
_atom_site_fract_x
_atom_site_fract_y
_atom_site_fract_z
La1 0.000 0.000 0.000
Pm1 0.000 0.000 0.500
Pm2 0.146 0.500 0.439
Pm3 0.197 0.000 0.833
Pb1 0.060 0.500 0.772
Pb2 0.192 0.000 0.243



(9)
# LaPm3Pb4 (PBE, optimized geometry)
# - total magnetic moment (μB per cell) = 0.0
# - energy of formation from the pure elements (meV/atom) = -458
# - DOS at the Fermi energy (states/eV per cell) = 11.247
# - DFT total energy (eV/atom) = -4.71
data_LaPm3Pb4
_chemical_formula_sum 'La2 Pm6 Pb8'
_cell_length_a 7.698
_cell_length_b 12.977
_cell_length_c 5.332
_cell_angle_alpha 90.00
_cell_angle_beta 90.00
_cell_angle_gamma 90.00
_space_group_name_H-M_alt 'C m m m'
_space_group_IT_number 65
_space_group_name_Hall '-C 2 2'
loop_
_atom_site_label
_atom_site_fract_x
_atom_site_fract_y
_atom_site_fract_z
La1 0.000 0.000 0.000
Pm1 0.000 0.500 0.000
Pm2 0.250 0.250 0.500
Pb1 0.000 0.254 0.000
Pb2 0.240 0.500 0.500



(10)
# La2PmPb (PBE, optimized geometry)
# - total magnetic moment (μB per cell) = 0.0
# - energy of formation from the pure elements (meV/atom) = -369
# - DOS at the Fermi energy (states/eV per cell) = 5.288
# - DFT total energy (eV/atom) = -4.95
data_La2PmPb
_chemical_formula_sum 'La2 Pm1 Pb1'
_cell_length_a 4.988
_cell_length_b 4.988
_cell_length_c 5.134
_cell_angle_alpha 90.00
_cell_angle_beta 90.00
_cell_angle_gamma 90.00
_space_group_name_H-M_alt 'P 4/m m m'
_space_group_IT_number 123
_space_group_name_Hall '-P 4 2'
loop_
_atom_site_label
_atom_site_fract_x
_atom_site_fract_y
_atom_site_fract_z
La1 0.000 0.500 0.000
Pm1 0.000 0.000 0.500
Pb1 0.500 0.500 0.500



(11)
# LaPm7Pb5 (PBE, optimized geometry)
# - total magnetic moment (μB per cell) = 0.0
# - energy of formation from the pure elements (meV/atom) = -333
# - DOS at the Fermi energy (states/eV per cell) = 26.478
# - DFT total energy (eV/atom) = -4.70
data_LaPm7Pb5
_chemical_formula_sum 'La2 Pm14 Pb10'
_cell_length_a 6.657
_cell_length_b 11.408
_cell_length_c 11.046
_cell_angle_alpha 90.00
_cell_angle_beta 90.00
_cell_angle_gamma 90.00
_space_group_name_H-M_alt 'I m m 2'
_space_group_IT_number 44
loop_
_space_group_symop_operation_xyz
'x,y,z'
'-x,-y,z'
'-x,y,z'
'x,-y,z'
'x+1/2,y+1/2,z+1/2'
'-x+1/2,-y+1/2,z+1/2'
'-x+1/2,y+1/2,z+1/2'
'x+1/2,-y+1/2,z+1/2'
loop_
_atom_site_label
_atom_site_fract_x
_atom_site_fract_y
_atom_site_fract_z
La1 0.000 0.000 0.000
Pm1 0.000 0.000 0.337
Pm2 0.000 0.000 0.654
Pm3 0.000 0.322 0.454
Pm4 0.000 0.341 0.968
Pm5 0.000 0.500 0.701
Pb1 0.000 0.500 0.220
Pb2 0.248 0.238 0.210



(12)
# La2Pm3Pb3 (PBE, optimized geometry)
# - total magnetic moment (μB per cell) = 0.0
# - energy of formation from the pure elements (meV/atom) = -409
# - DOS at the Fermi energy (states/eV per cell) = 19.346
# - DFT total energy (eV/atom) = -4.81
data_La2Pm3Pb3
_chemical_formula_sum 'La4 Pm6 Pb6'
_cell_length_a 4.573
_cell_length_b 5.009
_cell_length_c 21.967
_cell_angle_alpha 90.00
_cell_angle_beta 90.00
_cell_angle_gamma 90.00
_space_group_name_H-M_alt 'I m m m'
_space_group_IT_number 71
_space_group_name_Hall '-I 2 2'
loop_
_atom_site_label
_atom_site_fract_x
_atom_site_fract_y
_atom_site_fract_z
La1 0.000 0.000 0.242
Pm1 0.000 0.000 0.000
Pm2 0.000 0.500 0.117
Pb1 0.000 0.000 0.500
Pb2 0.000 0.500 0.373



(13)
# La3PmPb2 (PBE, optimized geometry)
# - total magnetic moment (μB per cell) = 0.0
# - energy of formation from the pure elements (meV/atom) = -452
# - DOS at the Fermi energy (states/eV per cell) = 13.952
# - DFT total energy (eV/atom) = -4.94
data_La3PmPb2
_chemical_formula_sum 'La6 Pm2 Pb4'
_cell_length_a 5.045
_cell_length_b 16.836
_cell_length_c 4.605
_cell_angle_alpha 90.00
_cell_angle_beta 90.00
_cell_angle_gamma 90.00
_space_group_name_H-M_alt 'C m m m'
_space_group_IT_number 65
_space_group_name_Hall '-C 2 2'
loop_
_atom_site_label
_atom_site_fract_x
_atom_site_fract_y
_atom_site_fract_z
La1 0.000 0.000 0.000
La2 0.000 0.318 0.000
Pm1 0.000 0.500 0.500
Pb1 0.000 0.147 0.500



(14)
# LaPm2Pb (PBE, optimized geometry)
# - total magnetic moment (μB per cell) = 0.0
# - energy of formation from the pure elements (meV/atom) = -348
# - DOS at the Fermi energy (states/eV per cell) = 5.289
# - DFT total energy (eV/atom) = -4.88
data_LaPm2Pb
_chemical_formula_sum 'La1 Pm2 Pb1'
_cell_length_a 5.042
_cell_length_b 5.042
_cell_length_c 4.914
_cell_angle_alpha 90.00
_cell_angle_beta 90.00
_cell_angle_gamma 90.00
_space_group_name_H-M_alt 'P 4/m m m'
_space_group_IT_number 123
_space_group_name_Hall '-P 4 2'
loop_
_atom_site_label
_atom_site_fract_x
_atom_site_fract_y
_atom_site_fract_z
La1 0.000 0.000 0.000
Pm1 0.000 0.500 0.500
Pb1 0.500 0.500 0.000



(15)
# La3PmPb5 (PBE, optimized geometry)
# - total magnetic moment (μB per cell) = 0.0
# - energy of formation from the pure elements (meV/atom) = -532
# - DOS at the Fermi energy (states/eV per cell) = 19.034
# - DFT total energy (eV/atom) = -4.76
data_La3PmPb5
_chemical_formula_sum 'La6 Pm2 Pb10'
_cell_length_a 9.8646
_cell_length_b 9.8646
_cell_length_c 6.7766
_cell_angle_alpha 90.00
_cell_angle_beta 90.00
_cell_angle_gamma 120.00
_space_group_name_H-M_alt 'P 63/m c m'
_space_group_IT_number 193
_space_group_name_Hall '-P 6c 2'
loop_
_atom_site_label
_atom_site_fract_x
_atom_site_fract_y
_atom_site_fract_z
La1 0.0000 0.3809 0.2500
Pm1 0.0000 0.0000 0.0000
Pb1 0.0000 0.2866 0.7500
Pb2 0.3333 0.6667 0.0000



(16)
# La2Pm3Pb2 (PBE, optimized geometry)
# - total magnetic moment (μB per cell) = 0.0
# - energy of formation from the pure elements (meV/atom) = -276
# - DOS at the Fermi energy (states/eV per cell) = 20.705
# - DFT total energy (eV/atom) = -4.78
data_La2Pm3Pb2
_chemical_formula_sum 'La4 Pm6 Pb4'
_cell_length_a 12.263
_cell_length_b 5.043
_cell_length_c 7.584
_cell_angle_alpha 90.00
_cell_angle_beta 94.29
_cell_angle_gamma 90.00
_space_group_name_H-M_alt 'C 1 2/m 1'
_space_group_IT_number 12
loop_
_space_group_symop_operation_xyz
'x,y,z'
'-x,-y,-z'
'-x,y,-z'
'x,-y,z'
'x+1/2,y+1/2,z'
'-x+1/2,-y+1/2,-z'
'-x+1/2,y+1/2,-z'
'x+1/2,-y+1/2,z'
loop_
_atom_site_label
_atom_site_fract_x
_atom_site_fract_y
_atom_site_fract_z
La1 0.084 0.000 0.189
Pm1 0.000 0.500 0.500
Pm2 0.208 0.000 0.662
Pb1 0.128 0.500 0.910



(17)
# LaPm2Pb (PBE, optimized geometry)
# - total magnetic moment (μB per cell) = 0.0
# - energy of formation from the pure elements (meV/atom) = -245
# - DOS at the Fermi energy (states/eV per cell) = 6.378
# - DFT total energy (eV/atom) = -4.78
data_LaPm2Pb
_chemical_formula_sum 'La1 Pm2 Pb1'
_cell_length_a 4.217
_cell_length_b 4.217
_cell_length_c 7.247
_cell_angle_alpha 90.00
_cell_angle_beta 90.00
_cell_angle_gamma 90.00
_space_group_name_H-M_alt 'P 4/m m m'
_space_group_IT_number 123
_space_group_name_Hall '-P 4 2'
loop_
_atom_site_label
_atom_site_fract_x
_atom_site_fract_y
_atom_site_fract_z
La1 0.000 0.000 0.000
Pm1 0.500 0.500 0.280
Pb1 0.000 0.000 0.500



(18)
# La2PmPb (PBE, optimized geometry)
# - total magnetic moment (μB per cell) = 0.0
# - energy of formation from the pure elements (meV/atom) = -285
# - DOS at the Fermi energy (states/eV per cell) = 5.303
# - DFT total energy (eV/atom) = -4.86
data_La2PmPb
_chemical_formula_sum 'La2 Pm1 Pb1'
_cell_length_a 4.384
_cell_length_b 4.384
_cell_length_c 7.018
_cell_angle_alpha 90.00
_cell_angle_beta 90.00
_cell_angle_gamma 90.00
_space_group_name_H-M_alt 'P 4/m m m'
_space_group_IT_number 123
_space_group_name_Hall '-P 4 2'
loop_
_atom_site_label
_atom_site_fract_x
_atom_site_fract_y
_atom_site_fract_z
La1 0.000 0.000 0.226
Pm1 0.500 0.500 0.500
Pb1 0.500 0.500 0.000



(19)
# La2PmPb (PBE, optimized geometry)
# - total magnetic moment (μB per cell) = 0.0
# - energy of formation from the pure elements (meV/atom) = -159
# - DOS at the Fermi energy (states/eV per cell) = 12.577
# - DFT total energy (eV/atom) = -4.74
data_La2PmPb
_chemical_formula_sum 'La6 Pm3 Pb3'
_cell_length_a 3.7221
_cell_length_b 3.7221
_cell_length_c 34.5029
_cell_angle_alpha 90.00
_cell_angle_beta 90.00
_cell_angle_gamma 120.00
_space_group_name_H-M_alt 'R 3 m'
_space_group_IT_number 160
_space_group_name_Hall 'R 3 -2"'
loop_
_atom_site_label
_atom_site_fract_x
_atom_site_fract_y
_atom_site_fract_z
La1 0.0000 0.0000 0.0000
La2 0.0000 0.0000 0.1730
Pm1 0.0000 0.0000 0.7528
Pb1 0.0000 0.0000 0.5869



(20)
# La5Pm2Pb (PBE, optimized geometry)
# - total magnetic moment (μB per cell) = 0.0
# - energy of formation from the pure elements (meV/atom) = -157
# - DOS at the Fermi energy (states/eV per cell) = 46.069
# - DFT total energy (eV/atom) = -4.89
data_La5Pm2Pb
_chemical_formula_sum 'La20 Pm8 Pb4'
_cell_length_a 7.387
_cell_length_b 11.627
_cell_length_c 12.732
_cell_angle_alpha 90.00
_cell_angle_beta 90.00
_cell_angle_gamma 90.00
_space_group_name_H-M_alt 'F m m 2'
_space_group_IT_number 42
_space_group_name_Hall 'F 2 -2'
loop_
_atom_site_label
_atom_site_fract_x
_atom_site_fract_y
_atom_site_fract_z
La1 0.000 0.000 0.000
La2 0.226 0.000 0.757
La3 0.250 0.250 0.083
Pm1 0.000 0.228 0.343
Pb1 0.000 0.000 0.510